{"formula": "NiRuN2F", "functional": "GGA+U", "state": "relaxed", "lattice_angstrom": [[-0.2085, -3.7435, 0.6602], [3.6481, -0.3828, -1.0187], [1.1441, 0.6179, 3.8650]], "species": ["N", "N", "Ru", "Ni", "F"], "fractional_positions": [[0.5000, 0.0000, 0.0000], [0.0000, 0.5000, 0.0000], [0.0000, 0.0000, 0.0000], [0.5000, 0.5000, 0.5000], [0.0000, 0.0000, 0.5000]], "magnetic_moment_mub_per_cell": 0.0, "sg": "P4/mmm", "final_energy_ev_per_atom": -5.137, "polymorph_energy_mev_per_atom": 0}